Er2In3Cu | PBE | relaxed

Summary:
E (eV/atom): -3.956
DFT formation energy (meV/atom): -383.2
Energy above the lowest structure with this stoichiometry (eV/atom): 0.000
Crystal system: trigonal

Unit cell a=4.7141 b=4.7141 c=7.3864 alpha=90.00 beta=90.00 gamma=120.00
Space group P3m1 (No. 156)
Inequivalent atoms, fractional coordinates:
Er1 0.0000 0.0000 0.0000 [1 per cell]
Er2 0.0000 0.0000 0.4594 [1 per cell]
In1 0.3333 0.6667 0.2193 [1 per cell]
In2 0.3333 0.6667 0.7890 [1 per cell]
In3 0.6667 0.3333 0.6699 [1 per cell]
Cu1 0.6667 0.3333 0.2820 [1 per cell]



ErInCu2 | PBE | relaxed

Summary:
E (eV/atom): -4.204
DFT formation energy (meV/atom): -330.3
Crystal system: cubic

Unit cell a=6.606 b=6.606 c=6.606 alpha=90.00 beta=90.00 gamma=90.00
Space group Fm-3m (No. 225)
Inequivalent atoms, fractional coordinates:
Er1 0.000 0.000 0.000 [4 per cell]
In1 0.000 0.000 0.500 [4 per cell]
Cu1 0.250 0.250 0.250 [8 per cell]



ErIn2Cu | PBE | relaxed

Summary:
E (eV/atom): -3.546
DFT formation energy (meV/atom): -12.0
Crystal system: trigonal

Unit cell a=3.7247 b=3.7247 c=24.0536 alpha=90.00 beta=90.00 gamma=120.00
Space group R-3m (No. 166, hexagonal axes)
Inequivalent atoms, fractional coordinates:
Er1 0.0000 0.0000 0.0000 [3 per cell]
In1 0.0000 0.0000 0.2329 [6 per cell]
Cu1 0.0000 0.0000 0.5000 [3 per cell]



Er5InCu | PBE | relaxed

Summary:
E (eV/atom): -4.271
DFT formation energy (meV/atom): -35.4
Crystal system: monoclinic

Unit cell a=11.100 b=6.562 c=11.178 alpha=90.00 beta=106.27 gamma=90.00
Space group C2/c (No. 15)
Inequivalent atoms, fractional coordinates:
Er1 0.000 0.045 0.250 [4 per cell]
Er2 0.130 0.351 0.050 [8 per cell]
Er3 0.227 0.162 0.642 [8 per cell]
In1 0.000 0.444 0.750 [4 per cell]
Cu1 0.000 0.000 0.000 [4 per cell]



ErIn2Cu | PBE | relaxed

Summary:
E (eV/atom): -3.885
DFT formation energy (meV/atom): -351.3
Crystal system: tetragonal

Unit cell a=4.595 b=4.595 c=16.273 alpha=90.00 beta=90.00 gamma=90.00
Space group I4/mmm (No. 139)
Inequivalent atoms, fractional coordinates:
Er1 0.000 0.000 0.138 [4 per cell]
In1 0.000 0.000 0.346 [4 per cell]
In2 0.000 0.500 0.000 [4 per cell]
Cu1 0.000 0.500 0.250 [4 per cell]



ErInCu5 | PBE | relaxed

Summary:
E (eV/atom): -4.185
DFT formation energy (meV/atom): -215.7
Crystal system: orthorhombic

Unit cell a=8.276 b=4.996 c=10.520 alpha=90.00 beta=90.00 gamma=90.00
Space group Pnma (No. 62)
Inequivalent atoms, fractional coordinates:
Er1 0.249 0.250 0.064 [4 per cell]
In1 0.137 0.750 0.862 [4 per cell]
Cu1 0.051 0.750 0.103 [4 per cell]
Cu2 0.069 0.002 0.312 [8 per cell]
Cu3 0.081 0.250 0.516 [4 per cell]
Cu4 0.187 0.250 0.740 [4 per cell]